Density functional theory data (GGA-PBE) for RbMoAs2C after structural relaxation.

a = 5.057 Å, b = 5.057 Å, c = 4.205 Å
α = 90.00°, β = 90.00°, γ = 90.00°
Atoms (fractional coordinates):
Rb (0.000, 0.000, 0.000)
Mo (0.500, 0.500, 0.500)
As (0.000, 0.500, 0.500)
As (0.500, 0.000, 0.500)
C (0.500, 0.500, 0.000)

## Properties
The calculation puts the density of states at the Fermi level at 3.8 states/eV/f.u. As for the uncorrected energy: -27.27 eV per cell. The theoretical density is 5.3 g/cm3. The formation energy from the elements is 0.610 eV/atom. The value obtained for the calculated volume is 107.52 Å³/f.u.

***

Density functional theory data (GGA-PBE) for MoAs2CSe after structural relaxation.

a = 4.904 Å, b = 4.904 Å, c = 4.807 Å
α = 90.00°, β = 90.00°, γ = 90.00°
Atoms (fractional coordinates):
Mo (0.000, 0.000, 0.000)
As (0.000, 0.500, 0.000)
As (0.500, 0.000, 0.000)
C (0.500, 0.500, 0.500)
Se (0.000, 0.000, 0.500)

## Properties
The calculation puts the density of states at the Fermi level at 2.8 states/eV/f.u. The polymorph energy (0 for the lowest one) is 0.419 eV/atom. As for the uncorrected energy: -24.73 eV per cell. The value obtained for the formation energy without anion corrections is 1.6214 eV/atom. The theoretical density is 4.8 g/cm3. The value obtained for the calculated volume is 115.60 Å³/f.u.

***

Density functional theory data (GGA-PBE) for MoAs2CSe after structural relaxation.

a = 4.276 Å, b = 4.276 Å, c = 4.322 Å
α = 90.00°, β = 90.00°, γ = 90.00°
Atoms (fractional coordinates):
Mo (0.000, 0.000, 0.000)
As (0.000, 0.500, 0.500)
As (0.500, 0.000, 0.500)
C (0.500, 0.500, 0.500)
Se (0.500, 0.500, 0.000)

## Properties
The calculation puts the density of states at the Fermi level at 2.6 states/eV/f.u. The polymorph energy (0 for the lowest one) is 0.000 eV/atom. As for the uncorrected energy: -26.83 eV per cell. The value obtained for the formation energy without anion corrections is 1.2019 eV/atom. The theoretical density is 7.1 g/cm3. The value obtained for the calculated volume is 79.03 Å³/f.u.

***

> Which formula does entry 2 have?

MoAs2CSe

***

> Which of these has the highest theoretical density?

number 3

***

> Among the records above, which one has the lowest theoretical density?

number 2